(1)
An optimized crystal structure of DyHo2Mg3AlGa2, computed with PBE-GGA.

Cell and atoms, written as POSCAR:
```
DyHo2Mg3AlGa2
1.0
4.493 0.000 0.000
0.000 6.290 3.625
0.000 -6.290 3.625
Al Dy Ga Ho Mg
1 1 2 2 3
direct
0.000 0.001 0.001
0.000 0.565 0.565
0.500 0.667 0.333
0.500 0.333 0.667
0.000 0.000 0.435
0.000 0.435 0.000
0.500 0.756 0.000
0.500 0.244 0.244
0.500 0.000 0.756
```

## Properties
The value obtained for the spin magnetization is 0.00 μB per cell. As for the space group: No. 38.

(2)
An optimized crystal structure of KHgPd, computed with PBE-GGA.

Cell and atoms, written as POSCAR:
```
KHgPd
1.0
-3.667 -2.283 -2.426
-0.948 -4.783 0.875
-4.127 -1.307 2.409
Hg K Pd
1 1 1
direct
0.250 0.250 0.250
0.750 0.750 0.750
0.000 0.000 0.000
```

## Properties
The calculation puts the energy above the lowest structure with this stoichiometry at 0.0 meV per atom. As for the space group: No. 216.

(3)
An optimized crystal structure of NaErSO, computed with PBE-GGA.

Cell and atoms, written as POSCAR:
```
NaErSO
1.0
3.889 0.000 0.000
0.000 3.889 0.000
0.000 0.000 9.176
Er Na O S
2 2 2 2
direct
0.250 0.250 0.117
0.750 0.750 0.883
0.750 0.250 0.500
0.250 0.750 0.500
0.750 0.250 0.000
0.250 0.750 0.000
0.750 0.750 0.296
0.250 0.250 0.704
```

## Properties
The calculation puts the energy above the lowest structure with this stoichiometry at 99.2 meV per atom. The value obtained for the spin magnetization is 0.00 μB per cell. As for the space group: No. 129.

Number 1: total energy -3.57 eV per atom. Number 2: total energy -2.17 eV per atom. Number 3: total energy -5.98 eV per atom.